<w>
A relaxed structure of ZrGaSn. Source: OQMD via LeMat-Bulk, functional PBE.

Summary:
As for the total moment: 0.0019 μB/atom.

Cell: 4.7518 4.7518 4.7518 Å, 60.00 60.00 60.00°
With the nearest neighbours (Å) after each atom.
Element x y z (fractional)
Zr  0.0000  0.0000  0.0000  4 Ga 2.91, 4 Sn 2.91
Ga  0.7500  0.7500  0.7500  4 Zr 2.91
Sn  0.2500  0.2500  0.2500  4 Zr 2.91

<x>
A relaxed structure of ZrGaSn. Source: OQMD via LeMat-Bulk, functional PBE.

Summary:
As for the total moment: 0.1056 μB/atom.

Cell: 4.6294 4.6294 4.6294 Å, 60.00 60.00 60.00°
With the nearest neighbours (Å) after each atom.
Element x y z (fractional)
Zr  0.0000  0.0000  0.0000  4 Ga 2.83
Ga  0.7500  0.7500  0.7500  4 Sn 2.83, 4 Zr 2.83
Sn  0.5000  0.5000  0.5000  4 Ga 2.83

Quick ranking, most stable first: <w>, <x>.